Record 1
Computed, not measured: a relaxed structure of Cu2SiBr at the PBE level of DFT.

Cell lengths 4.2762, 4.2121, 4.2121 Å; angles 73.92, 90.00, 90.00 degrees
Element x y z (fractional)
Cu: 0.0000 0.0000 0.0000
Cu: 0.5000 0.2043 0.2043
Si: 0.0000 0.3663 0.3663
Br: 0.5000 0.7734 0.7734

The polymorph energy (0 for the lowest one) comes out at 462 meV/atom. Its formation energy from raw total energies is 0.39 eV per atom. For the density of states at the Fermi level, the calculation gives 2.2 states/eV per cell.

***

Record 2
Computed, not measured: a relaxed structure of CrHIr at the PBE level of DFT.

Cell lengths 2.7367, 2.7367, 4.5194 Å; angles 90.00, 90.00, 120.00 degrees
Element x y z (fractional)
Cr: 0.0000 0.0000 0.0000
H: 0.3333 0.6667 0.8396
Ir: 0.3333 0.6667 0.4475

The polymorph energy (0 for the lowest one) comes out at 60 meV/atom. For the density of states at the Fermi level, the calculation gives 2.3 states/eV per cell.

***

Record 3
Computed, not measured: a relaxed structure of HoTm2Zn2In2 at the PBE level of DFT.

Cell lengths 9.2957, 9.2957, 9.2957 Å; angles 29.23, 29.23, 29.23 degrees
Element x y z (fractional)
Ho: 0.0000 0.0000 0.0000
Tm: 0.1279 0.1279 0.1279
Tm: 0.8721 0.8721 0.8721
Zn: 0.3971 0.3971 0.3971
Zn: 0.6029 0.6029 0.6029
In: 0.2616 0.2616 0.2616
In: 0.7384 0.7384 0.7384

Its uncorrected energy is -3.329 eV per atom. For the density of states at the Fermi level, the calculation gives 3.1 states/eV per cell.

***

no.,density (g/cm3)
1,5.35
2,13.89
3,8.46